Entry 1:
# Dy3As2IrRh9

An optimized crystal structure of Dy3As2IrRh9 (PBE-GGA, the Alexandria database).

a = 5.543 Å, b = 5.543 Å, c = 11.230 Å
α = 90.00°, β = 90.00°, γ = 120.00°
Sites, in units of the cell vectors:
Dy 0.333 0.667 0.571
Dy 0.000 0.000 0.000
Dy 0.667 0.333 0.429
As 0.333 0.667 0.161
As 0.667 0.333 0.839
Ir 0.000 0.000 0.500
Rh 0.832 0.168 0.675
Rh 0.832 0.663 0.675
Rh 0.337 0.168 0.675
Rh 0.663 0.832 0.325
Rh 0.168 0.337 0.325
Rh 0.168 0.832 0.325
Rh 0.500 0.000 0.000
Rh 0.000 0.500 0.000
Rh 0.500 0.500 0.000

Summary:
density	9.758	g/cm3
calculated formation energy	-30.8	kJ per mole of atoms
calculated volume	19.917	Å³ per atom
final energy	-6.8611	eV/atom



Entry 2:
# Dy4Te2AsIr

An optimized crystal structure of Dy4Te2AsIr (PBE-GGA, the Alexandria database).

a = 4.178 Å, b = 7.314 Å, c = 7.511 Å
α = 108.63°, β = 90.00°, γ = 90.00°
Sites, in units of the cell vectors:
Dy 0.500 0.250 0.214
Dy 0.500 0.750 0.786
Dy 0.000 0.273 0.791
Dy 0.000 0.727 0.209
Te 0.500 0.000 0.500
Te 0.000 0.500 0.500
As 0.000 0.000 0.000
Ir 0.500 0.500 0.000

Summary:
density	8.951	g/cm3
ΔE_f (raw)	-10.00	eV per formula unit
calculated volume	27.185	Å³ per atom
final energy	-6.0257	eV/atom



Entry 3:
# K3DyAs2O8

An optimized crystal structure of K3DyAs2O8 (PBE-GGA, the Alexandria database).

a = 5.929 Å, b = 5.929 Å, c = 7.728 Å
α = 90.00°, β = 90.00°, γ = 120.00°
Sites, in units of the cell vectors:
K 0.333 0.667 0.697
K 0.667 0.333 0.303
K 0.000 0.000 0.000
Dy 0.000 0.000 0.500
As 0.333 0.667 0.243
As 0.667 0.333 0.757
O 0.333 0.667 0.026
O 0.667 0.333 0.974
O 0.177 0.823 0.328
O 0.823 0.177 0.672
O 0.177 0.353 0.328
O 0.823 0.647 0.672
O 0.647 0.823 0.328
O 0.353 0.177 0.672

Summary:
density	3.935	g/cm3
ΔE_f (raw)	-28.25	eV per formula unit
calculated volume	16.807	Å³ per atom
final energy	-6.0792	eV/atom



Entry 4:
# KDyAs2O6

An optimized crystal structure of KDyAs2O6 (PBE-GGA, the Alexandria database).

a = 5.771 Å, b = 5.771 Å, c = 6.838 Å
α = 65.04°, β = 65.04°, γ = 60.00°
Sites, in units of the cell vectors:
K 0.000 0.000 0.000
Dy 0.500 0.500 0.500
As 0.732 0.732 0.804
As 0.268 0.268 0.196
O 0.071 0.505 0.716
O 0.708 0.071 0.716
O 0.495 0.292 0.284
O 0.929 0.495 0.284
O 0.292 0.929 0.284
O 0.505 0.708 0.716

Summary:
density	4.315	g/cm3
ΔE_f (raw)	-17.90	eV per formula unit
calculated volume	17.219	Å³ per atom
final energy	-6.2646	eV/atom